Entry from Alexandria via LeMat-Bulk: a geometry-optimized La2TbDyHo5 structure (PBE).

Summary:
Formation energy ... 0.139 eV per atom
Space group ... Cmc2_1, No. 36
E ... -81.4 eV per cell

Cell: 10.3130 10.3130 10.7351 Å, 90.00 90.00 148.23°
Element x y z (fractional)
La1 0.1122 0.8878 0.5000
La2 0.1158 0.8842 0.0865
La3 0.8842 0.1158 0.5865
La4 0.8878 0.1122 0.0000
Tb1 0.2013 0.7987 0.7774
Tb2 0.7987 0.2013 0.2774
Dy1 0.4140 0.5860 0.2271
Dy2 0.5860 0.4140 0.7271
Ho1 0.0167 0.9833 0.7923
Ho2 0.2823 0.7177 0.0727
Ho3 0.2996 0.7004 0.4736
Ho4 0.3902 0.6098 0.7886
Ho5 0.4796 0.5204 0.5057
Ho6 0.5204 0.4796 0.0057
Ho7 0.6098 0.3902 0.2886
Ho8 0.7004 0.2996 0.9736
Ho9 0.7177 0.2823 0.5727
Ho10 0.9833 0.0167 0.2923